First-principles (PBE-GGA) data for a geometry-optimized Th4As2PtS structure, as listed in Alexandria.

a = 4.111 Å, b = 7.414 Å, c = 7.310 Å
α = 70.74°, β = 90.00°, γ = 90.00°
Element x y z (fractional)
Th 0.000 0.740 0.758
Th 0.000 0.260 0.242
Th 0.500 0.744 0.255
Th 0.500 0.256 0.744
As 0.000 0.000 0.000
As 0.500 0.000 0.500
Pt 0.500 0.500 0.000
S 0.000 0.500 0.500

## Properties
Total DFT energy (no corrections) (eV per atom): -7.5743